(1)
Tb8Pm2Al | PBE | optimized geometry Values from VASP.

```
&SYSTEM
  ibrav = 0, nat = 11, ntyp = 3
/
ATOMIC_SPECIES
Tb 158.93 Tb.upf
Al 26.98 Al.upf
Pm 145.00 Pm.upf
ATOMIC_POSITIONS crystal
Tb 0.959 0.747 0.917
Tb 0.846 0.185 0.693
Tb 0.154 0.815 0.307
Tb 0.343 0.878 0.687
Tb 0.423 0.396 0.845
Tb 0.041 0.253 0.083
Tb 0.657 0.122 0.313
Tb 0.577 0.604 0.155
Al 0.500 0.000 0.000
Pm 0.758 0.667 0.517
Pm 0.242 0.333 0.483
CELL_PARAMETERS angstrom
5.294 0.000 -1.520
-0.104 6.487 -0.364
0.016 -0.082 10.036
```

Results
SG: C2/m (12)
Magnetic moment: 0.0 Bohr magnetons per cell
Calculated density: 7.7 Mg/m³
Polymorph energy (0 for the lowest one): 0 meV/atom

(2)
Na2InPbI5 | PBE | optimized geometry Values from VASP.

```
&SYSTEM
  ibrav = 0, nat = 18, ntyp = 4
/
ATOMIC_SPECIES
I 126.90 I.upf
Pb 207.20 Pb.upf
Na 22.99 Na.upf
In 114.82 In.upf
ATOMIC_POSITIONS crystal
I 0.440 0.881 0.030
I 0.235 0.470 0.407
I 0.790 0.581 0.181
I 0.210 0.419 0.681
I 0.881 0.762 0.563
I 0.765 0.530 0.907
I 0.537 0.073 0.265
I 0.463 0.927 0.765
I 0.560 0.119 0.530
I 0.119 0.238 0.063
Pb 0.717 0.434 0.542
Pb 0.283 0.566 0.042
Na 0.147 0.294 0.252
Na 0.853 0.706 0.752
Na 0.033 0.067 0.656
Na 0.967 0.933 0.156
In 0.582 0.164 0.927
In 0.418 0.836 0.427
CELL_PARAMETERS angstrom
4.601 0.000 0.000
-2.300 9.967 0.000
0.000 0.000 17.028
```

Results
E_form (uncorrected): -0.8358 eV per atom
SG: Cmc2_1 (36)
Magnetic moment: 0.0 Bohr magnetons per cell
Calculated density: 4.3 Mg/m³

(3)
LaSc4Zn | PBE | optimized geometry Values from VASP.

```
&SYSTEM
  ibrav = 0, nat = 6, ntyp = 3
/
ATOMIC_SPECIES
Sc 44.96 Sc.upf
Zn 65.41 Zn.upf
La 138.91 La.upf
ATOMIC_POSITIONS crystal
Sc 0.375 0.875 0.375
Sc 0.375 0.375 0.875
Sc 0.875 0.375 0.375
Sc 0.375 0.375 0.375
Zn 0.750 0.750 0.750
La 0.000 0.000 0.000
CELL_PARAMETERS angstrom
-5.493 -1.989 1.621
-3.116 2.889 4.324
-4.936 3.208 -1.450
```

Results
SG: F-43m (216)
Magnetic moment: 0.1 Bohr magnetons per cell
Calculated density: 4.0 Mg/m³
Raw total energy: -0.3649 Ry/atom

(4)
Sr2ZrNi | PBE | optimized geometry Values from VASP.

```
&SYSTEM
  ibrav = 0, nat = 4, ntyp = 3
/
ATOMIC_SPECIES
Ni 58.69 Ni.upf
Sr 87.62 Sr.upf
Zr 91.22 Zr.upf
ATOMIC_POSITIONS crystal
Ni 0.500 0.500 0.500
Sr 0.000 0.000 0.000
Sr 0.750 0.750 0.750
Zr 0.250 0.250 0.250
CELL_PARAMETERS angstrom
-4.960 1.146 -1.576
-4.118 -2.776 1.933
-3.408 2.301 3.390
```

Results
SG: F-43m (216)
Magnetic moment: 0.6 Bohr magnetons per cell
Calculated density: 5.0 Mg/m³
Polymorph energy (0 for the lowest one): 605 meV/atom

(5)
AcErPt2 | PBE | optimized geometry Values from VASP.

```
&SYSTEM
  ibrav = 0, nat = 4, ntyp = 3
/
ATOMIC_SPECIES
Er 167.26 Er.upf
Ac 227.00 Ac.upf
Pt 195.08 Pt.upf
ATOMIC_POSITIONS crystal
Er 0.500 0.500 0.500
Ac 0.000 0.000 0.000
Pt 0.780 0.780 0.661
Pt 0.220 0.220 0.339
CELL_PARAMETERS angstrom
-3.923 0.635 -2.511
-3.284 -3.361 -0.119
-4.765 1.250 3.360
```

Results
SG: R-3m (166)
Magnetic moment: 0.0 Bohr magnetons per cell
Calculated density: 12.8 Mg/m³
Polymorph energy (0 for the lowest one): 19 meV/atom

(6)
Tm4Sc3Sb4 | PBE | optimized geometry Values from VASP.

```
&SYSTEM
  ibrav = 0, nat = 11, ntyp = 3
/
ATOMIC_SPECIES
Sb 121.76 Sb.upf
Tm 168.93 Tm.upf
Sc 44.96 Sc.upf
ATOMIC_POSITIONS crystal
Sb 0.729 0.229 0.459
Sb 0.500 0.205 0.000
Sb 0.500 0.795 0.000
Sb 0.271 0.771 0.541
Tm 0.335 0.516 0.669
Tm 0.335 0.153 0.669
Tm 0.665 0.847 0.331
Tm 0.665 0.484 0.331
Sc 0.096 0.096 0.193
Sc 0.904 0.904 0.807
Sc 0.000 0.500 0.000
CELL_PARAMETERS angstrom
-1.386 -0.914 -3.415
-5.361 -6.039 3.791
-2.709 9.426 0.688
```

Results
E_form (uncorrected): -0.6359 eV per atom
SG: Immm (71)
Magnetic moment: 0.6 Bohr magnetons per cell
Calculated density: 7.4 Mg/m³